1.
Ac3ZnGe6Pd2: relaxed, PBE.

The space group is P-3m1 (No. 164) and the conventional cell measures 6.2480, 6.2480 and 8.6553 Å, with angles of 90.00, 90.00 and 120.00 degrees. The asymmetric unit holds Ac at (0.0000, 0.0000, 0.0000), Ac at (0.3333, 0.6667, 0.6346), Zn at (0.0000, 0.0000, 0.5000), Ge at (0.1942, 0.3885, 0.2843) and Pd at (0.3333, 0.6667, 0.0353).

---

2.
AcZnGe2Pd5: relaxed, PBE.

The space group is P4/mmm (No. 123) and the conventional cell measures 4.8515, 4.8515 and 7.3139 Å, with angles of 90.00, 90.00 and 90.00 degrees. The asymmetric unit holds Ac at (0.0000, 0.0000, 0.0000), Zn at (0.0000, 0.0000, 0.5000), Ge at (0.5000, 0.5000, 0.3366), Pd at (0.0000, 0.5000, 0.2906) and Pd at (0.5000, 0.5000, 0.0000).

---

3.
AcZnGePd: relaxed, PBE.

The space group is F-43m (No. 216) and the conventional cell measures 7.0755, 7.0755 and 7.0755 Å, with angles of 90.00, 90.00 and 90.00 degrees. The asymmetric unit holds Ac at (0.0000, 0.0000, 0.0000), Zn at (0.2500, 0.2500, 0.7500), Ge at (0.0000, 0.0000, 0.5000) and Pd at (0.2500, 0.2500, 0.2500).

---

4.
Ac3Zn2GePd6: relaxed, PBE.

The space group is P-3m1 (No. 164) and the conventional cell measures 5.8976, 5.8976 and 8.9030 Å, with angles of 90.00, 90.00 and 120.00 degrees. The asymmetric unit holds Ac at (0.0000, 0.0000, 0.0000), Ac at (0.3333, 0.6667, 0.6270), Zn at (0.3333, 0.6667, 0.0447), Ge at (0.0000, 0.0000, 0.5000) and Pd at (0.1725, 0.3449, 0.2826).

---

5.
Ac2ZrGe4Pd3: relaxed, PBE.

The space group is P-4m2 (No. 115) and the conventional cell measures 4.4056, 4.4056 and 11.1692 Å, with angles of 90.00, 90.00 and 90.00 degrees. The asymmetric unit holds Ac at (0.0000, 0.5000, 0.2340), Zr at (0.0000, 0.0000, 0.5000), Ge at (0.0000, 0.0000, 0.0000), Ge at (0.0000, 0.5000, 0.6449), Ge at (0.5000, 0.5000, 0.0000), Pd at (0.0000, 0.5000, 0.8790) and Pd at (0.5000, 0.5000, 0.5000).

---

6.
Ac2PmGe2: relaxed, PBE.

The space group is Immm (No. 71) and the conventional cell measures 4.5592, 6.7125 and 10.1814 Å, with angles of 90.00, 90.00 and 90.00 degrees. The asymmetric unit holds Ac at (0.0000, 0.0000, 0.2025), Pm at (0.0000, 0.5000, 0.0000) and Ge at (0.0000, 0.2975, 0.5000).

---

Energy of formation from the pure elements values (in eV/atom) by entry order: -0.390, -0.452, -0.398, -0.646, -0.812, -0.654.